Record 1
Cd6In2Hg GGA-PBE optimized geometry; E_tot = -1.2040 eV/atom; volume = 25.6 Å³/atom; energy of formation = 48 meV per atom; space group = C2/m; magnetization = 0.00 Bohr magnetons per cell; Fermi-level density of states = 3.28 states/eV per cell
1.0
5.3661 -3.0979 0.0000
5.3661 3.0979 0.0000
-0.0074 0.0000 6.9183
Cd In Hg
6 2 1
direct
0.1507 0.6747 0.6686
0.3254 0.3254 0.3298
0.3253 0.8493 0.3314
0.6747 0.1507 0.6686
0.6746 0.6746 0.6702
0.8493 0.3253 0.3314
0.1672 0.1672 0.8894
0.8328 0.8328 0.1106
0.5000 0.5000 0.0000



Record 2
Cd3In5Hg12 GGA-PBE optimized geometry; E_tot = -0.8827 eV/atom; volume = 31.6 Å³/atom; energy of formation = 120 meV per atom; space group = Ia-3d; magnetization = 0.00 Bohr magnetons per cell; Fermi-level density of states = 39.59 states/eV per cell
1.0
-8.5840 8.5840 8.5840
8.5840 -8.5840 8.5840
8.5840 8.5840 -8.5840
Cd In Hg
12 20 48
direct
0.1250 0.2500 0.3750
0.1250 0.3750 0.7500
0.2500 0.3750 0.1250
0.2500 0.8750 0.6250
0.3750 0.1250 0.2500
0.3750 0.7500 0.1250
0.6250 0.2500 0.8750
0.6250 0.8750 0.7500
0.7500 0.1250 0.3750
0.7500 0.6250 0.8750
0.8750 0.6250 0.2500
0.8750 0.7500 0.6250
0.0000 0.0000 0.0000
0.0000 0.0000 0.5000
0.0000 0.5000 0.0000
0.0000 0.5000 0.5000
0.1250 0.7500 0.8750
0.1250 0.8750 0.2500
0.2500 0.1250 0.8750
0.2500 0.6250 0.3750
0.3750 0.2500 0.6250
0.3750 0.6250 0.7500
0.5000 0.0000 0.0000
0.5000 0.0000 0.5000
0.5000 0.5000 0.0000
0.5000 0.5000 0.5000
0.6250 0.3750 0.2500
0.6250 0.7500 0.3750
0.7500 0.3750 0.6250
0.7500 0.8750 0.1250
0.8750 0.1250 0.7500
0.8750 0.2500 0.1250
0.0665 0.2341 0.1387
0.0665 0.3324 0.9278
0.0722 0.6387 0.4045
0.0722 0.9335 0.6676
0.0955 0.7341 0.6676
0.0955 0.8613 0.4278
0.1387 0.0665 0.2341
0.1387 0.5722 0.9045
0.1676 0.2341 0.5955
0.1676 0.4335 0.5722
0.2341 0.1387 0.0665
0.2341 0.5955 0.1676
0.2659 0.3324 0.9045
0.2659 0.4335 0.3613
0.3324 0.9045 0.2659
0.3324 0.9278 0.0665
0.3613 0.2659 0.4335
0.3613 0.5955 0.9278
0.4045 0.0722 0.6387
0.4045 0.8324 0.7659
0.4278 0.0955 0.8613
0.4278 0.8324 0.5665
0.4335 0.3613 0.2659
0.4335 0.5722 0.1676
0.5665 0.4278 0.8324
0.5665 0.6387 0.7341
0.5722 0.1676 0.4335
0.5722 0.9045 0.1387
0.5955 0.1676 0.2341
0.5955 0.9278 0.3613
0.6387 0.4045 0.0722
0.6387 0.7341 0.5665
0.6676 0.0722 0.9335
0.6676 0.0955 0.7341
0.7341 0.5665 0.6387
0.7341 0.6676 0.0955
0.7659 0.4045 0.8324
0.7659 0.8613 0.9335
0.8324 0.5665 0.4278
0.8324 0.7659 0.4045
0.8613 0.4278 0.0955
0.8613 0.9335 0.7659
0.9045 0.1387 0.5722
0.9045 0.2659 0.3324
0.9278 0.0665 0.3324
0.9278 0.3613 0.5955
0.9335 0.6676 0.0722
0.9335 0.7659 0.8613



Record 3
Cd4In12Hg GGA-PBE optimized geometry; E_tot = -1.9970 eV/atom; volume = 30.1 Å³/atom; energy of formation = 169 meV per atom; space group = Im-3; magnetization = 0.00 Bohr magnetons per cell; Fermi-level density of states = 8.08 states/eV per cell
1.0
-5.0390 5.0390 5.0390
5.0390 -5.0390 5.0390
5.0390 5.0390 -5.0390
Cd In Hg
4 12 1
direct
0.0000 0.0000 0.5000
0.0000 0.5000 0.0000
0.5000 0.0000 0.0000
0.5000 0.5000 0.5000
0.1504 0.4989 0.3485
0.1504 0.8019 0.6515
0.1981 0.3485 0.8496
0.3485 0.1504 0.4989
0.3485 0.8496 0.1981
0.4989 0.3485 0.1504
0.5011 0.6515 0.8496
0.6515 0.1504 0.8019
0.6515 0.8496 0.5011
0.8019 0.6515 0.1504
0.8496 0.1981 0.3485
0.8496 0.5011 0.6515
0.0000 0.0000 0.0000



Question: Which of these has the highest E_tot?
Answer: Cd3In5Hg12



Question: Which value of energy of formation does entry 3 give?
Answer: 169 meV per atom